Entry from the Alexandria database: an optimized crystal structure of Tm2InPd2 (GGA-PBEsol).

Computed properties:
**Symmetry**: No. 127
**Mass density**: 10798 kg/m3
**D(E_F)**: 3.051 states/eV/f.u.
**Magnetization**: 0.0 μB/f.u.
**DFT formation energy**: -20.7 kcal/mol of atoms

Cell and atoms, written as CIF:
```
data_Tm2InPd2
_chemical_formula_sum 'Tm4 In2 Pd4'
_space_group_name_H-M_alt 'P 1'
_space_group_IT_number 1
_cell_length_a 7.552
_cell_length_b 7.552
_cell_length_c 3.589
_cell_angle_alpha 90.00
_cell_angle_beta 90.00
_cell_angle_gamma 90.00
loop_
_space_group_symop_operation_xyz
'x,y,z'
loop_
_atom_site_label
_atom_site_type_symbol
_atom_site_fract_x
_atom_site_fract_y
_atom_site_fract_z
Tm1 Tm 0.172 0.328 0.000
Tm2 Tm 0.328 0.828 0.000
Tm3 Tm 0.672 0.172 0.000
Tm4 Tm 0.828 0.672 0.000
In1 In 0.000 0.000 0.500
In2 In 0.500 0.500 0.500
Pd1 Pd 0.129 0.629 0.500
Pd2 Pd 0.371 0.129 0.500
Pd3 Pd 0.629 0.871 0.500
Pd4 Pd 0.871 0.371 0.500
```